(1)
First-principles (GGA-PBE) data for an optimized crystal structure of BaCN2, as listed in Alexandria via LeMat-Bulk.

Unit cell a=7.109 b=7.109 c=7.109 alpha=24.25 beta=24.25 gamma=24.25
Each line ends with the local moment (μB).
Element x y z (fractional)
N: 0.127 0.127 0.127  0.41
N: 0.873 0.873 0.873  0.41
Ba: 0.000 0.000 0.000  -0.03
C: 0.500 0.500 0.500  -0.07

Output
Energy relative to the elements, uncorrected   10.519 eV per formula unit
Space-group type   No. 166


(2)
First-principles (GGA-PBE) data for an optimized crystal structure of Sr2LiH12Pd3, as listed in Alexandria via LeMat-Bulk.

Unit cell a=6.106 b=6.106 c=6.106 alpha=65.72 beta=65.72 gamma=65.72
Element x y z (fractional)
H: 0.109 0.632 0.109
H: 0.689 0.689 0.099
H: 0.891 0.891 0.368
H: 0.311 0.901 0.311
H: 0.891 0.368 0.891
H: 0.109 0.109 0.632
H: 0.901 0.311 0.311
H: 0.689 0.099 0.689
H: 0.099 0.689 0.689
H: 0.632 0.109 0.109
H: 0.311 0.311 0.901
H: 0.368 0.891 0.891
Li: 0.000 0.000 0.000
Sr: 0.624 0.624 0.624
Sr: 0.376 0.376 0.376
Pd: 0.000 0.500 0.000
Pd: 0.000 0.000 0.500
Pd: 0.500 0.000 0.000

Output
Space-group type   No. 166


(3)
First-principles (GGA-PBE) data for an optimized crystal structure of Ba2LiTbIrO6, as listed in Alexandria via LeMat-Bulk.

Unit cell a=6.387 b=6.387 c=6.387 alpha=54.84 beta=54.84 gamma=54.84
Each line ends with the local moment (μB).
Element x y z (fractional)
O: 0.756 0.234 0.234  0.04
O: 0.759 0.759 0.234  0.07
O: 0.234 0.234 0.756  0.04
O: 0.759 0.234 0.759  0.07
O: 0.234 0.759 0.759  0.07
O: 0.234 0.756 0.234  0.04
Ba: 0.289 0.289 0.289  0.00
Ba: 0.748 0.748 0.748  0.00
Tb: 0.505 0.505 0.505  -0.02
Li: 0.130 0.130 0.130  0.00
Ir: 0.990 0.990 0.990  0.60

Output
Energy relative to the elements, uncorrected   -23.731 eV per formula unit
Space-group type   No. 160


(4)
First-principles (GGA-PBE) data for an optimized crystal structure of SiMoAu2, as listed in Alexandria via LeMat-Bulk.

Unit cell a=3.614 b=3.115 c=6.104 alpha=75.18 beta=90.00 gamma=90.00
Element x y z (fractional)
Si: 0.500 0.964 0.696
Au: 0.500 0.185 0.256
Au: 0.000 0.817 0.993
Mo: 0.000 0.535 0.555

Output
Energy relative to the elements, uncorrected   0.111 eV per formula unit
Space-group type   No. 38


(5)
First-principles (GGA-PBE) data for an optimized crystal structure of Mg7Tl2Cd, as listed in Alexandria via LeMat-Bulk.

Unit cell a=4.891 b=4.891 c=11.943 alpha=90.00 beta=90.00 gamma=120.00
Element x y z (fractional)
Mg: 0.333 0.667 0.408
Mg: 0.333 0.667 0.891
Mg: 0.667 0.333 0.039
Mg: 0.000 0.000 0.737
Mg: 0.333 0.667 0.143
Mg: 0.667 0.333 0.571
Mg: 0.000 0.000 0.244
Cd: 0.000 0.000 0.989
Tl: 0.333 0.667 0.649
Tl: 0.667 0.333 0.312

Output
ΔE_f   0.00 eV per atom
Space-group type   No. 156


(6)
First-principles (GGA-PBE) data for an optimized crystal structure of SrIn4Fe, as listed in Alexandria via LeMat-Bulk.

Unit cell a=6.068 b=6.068 c=6.068 alpha=60.00 beta=60.00 gamma=60.00
Each line ends with the local moment (μB).
Element x y z (fractional)
In: 0.375 0.375 0.876  -0.02
In: 0.375 0.375 0.375  -0.02
In: 0.375 0.876 0.375  -0.02
In: 0.876 0.375 0.375  -0.02
Fe: 0.000 0.000 0.000  3.05
Sr: 0.750 0.750 0.750  -0.04

Output
ΔE_f   0.24 eV per atom
Space-group type   No. 216


Total DFT energy (no corrections) (computed, eV per atom): -4.32 -3.67 -6.61 -5.67 -1.68 -3.27